An optimized crystal structure of Sc2AgPb, computed with PBE.

a = 6.6813 Å, b = 6.6813 Å, c = 6.6813 Å
α = 56.56°, β = 151.99°, γ = 131.92°
Element x y z (fractional)
Sc: 0.0000 0.7575 0.7575
Sc: 0.0000 0.2425 0.2425
Ag: 0.0000 0.0000 0.0000
Pb: 0.0000 0.5000 0.5000

M_tot = 0.0 μB/f.u.
Density of states at the Fermi level = 4.5 states/eV/cell
Formation energy = 0.30 eV/atom
Space-group type = Immm (71)



An optimized crystal structure of Sm5Y2Cd, computed with PBE.

a = 7.1140 Å, b = 7.1144 Å, c = 7.0758 Å
α = 120.18°, β = 120.17°, γ = 90.01°
Element x y z (fractional)
Cd: 0.2220 0.2220 0.4440
Sm: 0.2221 0.7221 0.9443
Sm: 0.7221 0.2221 0.9443
Sm: 0.7222 0.7222 0.9443
Sm: 0.7221 0.7221 0.4443
Sm: 0.2221 0.2221 0.9443
Y: 0.7221 0.2222 0.4443
Y: 0.2222 0.7221 0.4443

M_tot = 0.0 μB/f.u.
Density of states at the Fermi level = 8.0 states/eV/cell
Formation energy = -0.03 eV/atom
Space-group type = I4/mmm (139)



An optimized crystal structure of NaReAg3, computed with PBE.

a = 5.1738 Å, b = 5.1738 Å, c = 5.1738 Å
α = 90.00°, β = 90.00°, γ = 90.00°
Element x y z (fractional)
Na: 0.5000 0.5000 0.5000
Ag: 0.0000 0.5000 0.0000
Ag: 0.0000 0.0000 0.5000
Ag: 0.5000 0.0000 0.0000
Re: 0.0000 0.0000 0.0000

M_tot = 2.2 μB/f.u.
Energy above the most stable polymorph in this dataset = 0.00 kcal/mol of atoms
Density of states at the Fermi level = 3.9 states/eV/cell
Formation energy = 1.22 eV/atom
Space-group type = Pm-3m (221)



An optimized crystal structure of NaSrRu2, computed with PBE.

a = 8.1909 Å, b = 8.1909 Å, c = 6.3321 Å
α = 49.70°, β = 49.70°, γ = 90.00°
Element x y z (fractional)
Ru: 0.1477 0.6250 0.2500
Ru: 0.6023 0.1250 0.2500
Ru: 0.8750 0.8523 0.7500
Ru: 0.3750 0.3977 0.7500
Na: 0.2500 0.7500 0.5000
Na: 0.5000 0.5000 0.0000
Sr: 0.0000 0.0000 0.0000
Sr: 0.7500 0.2500 0.5000

M_tot = 0.9 μB/f.u.
Energy above the most stable polymorph in this dataset = 0.00 kcal/mol of atoms
Density of states at the Fermi level = 9.7 states/eV/cell
Formation energy = 1.12 eV/atom
Space-group type = I-42d (122)



An optimized crystal structure of TeAsS3, computed with PBE.

a = 4.7530 Å, b = 4.7530 Å, c = 4.7530 Å
α = 90.00°, β = 90.00°, γ = 90.00°
Element x y z (fractional)
S: 0.0000 0.0000 0.5000
S: 0.5000 0.0000 0.0000
S: 0.0000 0.5000 0.0000
Te: 0.5000 0.5000 0.5000
As: 0.0000 0.0000 0.0000

M_tot = 0.0 μB/f.u.
Energy above the most stable polymorph in this dataset = 12.01 kcal/mol of atoms
Density of states at the Fermi level = 4.9 states/eV/cell
Space-group type = Pm-3m (221)



An optimized crystal structure of Mg2Ga5Pd2, computed with PBE.

a = 3.3715 Å, b = 6.9721 Å, c = 7.5064 Å
α = 79.44°, β = 77.02°, γ = 76.01°
Element x y z (fractional)
Ga: 0.0000 0.0000 0.0000
Ga: 0.3053 0.3219 0.0675
Ga: 0.8788 0.6727 0.5696
Ga: 0.6947 0.6781 0.9325
Ga: 0.1212 0.3273 0.4304
Pd: 0.9351 0.3388 0.7911
Pd: 0.0649 0.6612 0.2089
Mg: 0.6336 0.0611 0.6717
Mg: 0.3664 0.9389 0.3283

M_tot = 0.0 μB/f.u.
Density of states at the Fermi level = 4.0 states/eV/cell
Formation energy = -0.31 eV/atom
Space-group type = C2/m (12)